The following is a DFT calculation (GGA-PBEsol) of a relaxed La5Ir3 crystal.

Summary:
- Symmetry: P4/ncc
- DOS(E_F): 6.11 states/eV/f.u.
- E_form: -0.61 eV per atom
- Density: 10268 kg/m³

abc: 11.2668 11.2668 6.4775
angles: 90.00 90.00 90.00
Closest atoms and distances in Å follow each position.
Positions (direct):
1 La 0.0419 0.1583 0.1164  4 Ir 2.92-3.08
2 La 0.0419 0.3417 0.6164  4 Ir 2.92-3.08
3 La 0.1583 0.0419 0.6164  4 Ir 2.92-3.08
4 La 0.1583 0.4581 0.1164  4 Ir 2.92-3.08
5 La 0.2500 0.7500 0.0000  4 Ir 2.95, 2 La 3.24
6 La 0.2500 0.7500 0.5000  4 Ir 2.95, 2 La 3.24
7 La 0.3417 0.0419 0.1164  4 Ir 2.92-3.08
8 La 0.3417 0.4581 0.6164  4 Ir 2.92-3.08
9 La 0.4581 0.1583 0.6164  4 Ir 2.92-3.08
10 La 0.4581 0.3417 0.1164  4 Ir 2.92-3.08
11 La 0.5419 0.6583 0.8836  4 Ir 2.92-3.08
12 La 0.5419 0.8417 0.3836  4 Ir 2.92-3.08
13 La 0.6583 0.5419 0.3836  4 Ir 2.92-3.08
14 La 0.6583 0.9581 0.8836  4 Ir 2.92-3.08
15 La 0.7500 0.2500 0.0000  4 Ir 2.95, 2 La 3.24
16 La 0.7500 0.2500 0.5000  4 Ir 2.95, 2 La 3.24
17 La 0.8417 0.5419 0.8836  4 Ir 2.92-3.08
18 La 0.8417 0.9581 0.3836  4 Ir 2.92-3.08
19 La 0.9581 0.6583 0.3836  4 Ir 2.92-3.08
20 La 0.9581 0.8417 0.8836  4 Ir 2.92-3.08
21 Ir 0.0954 0.5954 0.7500  6 La 2.92-3.05
22 Ir 0.0954 0.9046 0.2500  6 La 2.92-3.05
23 Ir 0.2500 0.2500 0.3802  8 La 2.98-3.08, 2 Ir 3.24
24 Ir 0.2500 0.2500 0.8802  8 La 2.98-3.08, 2 Ir 3.24
25 Ir 0.4046 0.5954 0.2500  6 La 2.92-3.05
26 Ir 0.4046 0.9046 0.7500  6 La 2.92-3.05
27 Ir 0.5954 0.0954 0.2500  6 La 2.92-3.05
28 Ir 0.5954 0.4046 0.7500  6 La 2.92-3.05
29 Ir 0.7500 0.7500 0.1198  8 La 2.98-3.08, 2 Ir 3.24
30 Ir 0.7500 0.7500 0.6198  8 La 2.98-3.08, 2 Ir 3.24
31 Ir 0.9046 0.0954 0.7500  6 La 2.92-3.05
32 Ir 0.9046 0.4046 0.2500  6 La 2.92-3.05


The following is a DFT calculation (GGA-PBEsol) of a relaxed La3Ir4 crystal.

Summary:
- Symmetry: P6/mmm
- DOS(E_F): 7.50 states/eV/f.u.
- E_form: 0.38 eV per atom
- Density: 11796 kg/m³

abc: 6.5481 6.5481 4.4946
angles: 90.00 90.00 120.00
Closest atoms and distances in Å follow each position.
Positions (direct):
1 La 0.0000 0.5000 0.0000  4 Ir 2.94, 4 La 3.27
2 La 0.5000 0.0000 0.0000  4 Ir 2.94, 4 La 3.27
3 La 0.5000 0.5000 0.0000  4 Ir 2.94, 4 La 3.27
4 Ir 0.0000 0.0000 0.2513  2 Ir 2.24-2.26
5 Ir 0.0000 0.0000 0.7487  2 Ir 2.24-2.26
6 Ir 0.3333 0.6667 0.5000  6 La 2.94
7 Ir 0.6667 0.3333 0.5000  6 La 2.94